Record 1
The following is a PBE calculation of a geometry-optimized Pm2NdSb structure, from the Alexandria database.

Structure (POSCAR):
```
Pm2NdSb
1.0
4.113 0.000 0.000
0.000 4.113 0.000
0.000 0.000 7.371
Pm Nd Sb
2 1 1
Direct
0.000 0.000 0.216
0.000 0.000 0.784
0.500 0.500 0.500
0.500 0.500 0.000
```

Calculated values
Energy above the lowest structure with this stoichiometry = 0.078 eV per atom
Magnetization = 0.00 μB per formula unit
Calculated density = 7.40 g cm⁻³

=====

Record 2
The following is a PBE calculation of a geometry-optimized KHg3H3 structure, from the Alexandria database.

Structure (POSCAR):
```
KHg3H3
1.0
4.189 2.419 4.600
-4.189 2.419 4.600
0.000 -4.837 4.600
K Hg H
2 6 6
Direct
0.173 0.173 0.173
0.827 0.827 0.827
0.230 0.346 0.641
0.346 0.641 0.230
0.359 0.770 0.653
0.641 0.230 0.346
0.654 0.359 0.770
0.770 0.654 0.359
0.054 0.602 0.216
0.216 0.054 0.602
0.398 0.784 0.946
0.602 0.216 0.054
0.784 0.946 0.398
0.946 0.398 0.784
```

Calculated values
Final energy = -1.558 eV per atom
Magnetization = 0.00 μB per formula unit
Calculated density = 7.65 g cm⁻³

=====

Record 3
The following is a PBE calculation of a geometry-optimized Ca2Sm2Dy structure, from the Alexandria database.

Structure (POSCAR):
```
Ca2Sm2Dy
1.0
4.605 0.000 0.000
0.000 4.605 0.000
0.000 0.000 17.492
Ca Sm Dy
4 4 2
Direct
0.000 0.500 0.250
0.000 0.500 0.750
0.500 0.000 0.250
0.500 0.000 0.750
0.000 0.000 0.088
0.000 0.000 0.912
0.500 0.500 0.412
0.500 0.500 0.588
0.000 0.000 0.500
0.500 0.500 0.000
```

Calculated values
Energy above the lowest structure with this stoichiometry = 0.356 eV per atom
Formation enthalpy at 0 K = 2.0 eV per formula unit
Magnetization = 0.00 μB per formula unit
Calculated density = 4.86 g cm⁻³

=====

Record 4
The following is a PBE calculation of a geometry-optimized AcTbNiPd structure, from the Alexandria database.

Structure (POSCAR):
```
AcTbNiPd
1.0
7.242 0.000 0.000
0.000 7.242 0.000
0.000 0.000 7.242
Ac Tb Ni Pd
4 4 4 4
Direct
0.000 0.000 0.000
0.000 0.500 0.500
0.500 0.000 0.500
0.500 0.500 0.000
0.000 0.000 0.500
0.000 0.500 0.000
0.500 0.000 0.000
0.500 0.500 0.500
0.250 0.250 0.750
0.250 0.750 0.250
0.750 0.250 0.250
0.750 0.750 0.750
0.250 0.250 0.250
0.250 0.750 0.750
0.750 0.250 0.750
0.750 0.750 0.250
```

Calculated values
Formation enthalpy at 0 K = -1.8 eV per formula unit
Magnetization = 0.00 μB per formula unit
Calculated density = 9.64 g cm⁻³

=====

Record 5
The following is a PBE calculation of a geometry-optimized Ca2CrCu structure, from the Alexandria database.

Structure (POSCAR):
```
Ca2CrCu
1.0
7.257 0.000 0.000
0.000 7.295 0.000
0.000 0.000 3.739
Ca Cr Cu
4 2 2
Direct
0.250 0.250 0.000
0.250 0.750 0.000
0.750 0.250 0.000
0.750 0.750 0.000
0.000 0.000 0.500
0.500 0.500 0.500
0.000 0.500 0.500
0.500 0.000 0.500
```

Calculated values
Energy above the lowest structure with this stoichiometry = 0.095 eV per atom
Formation enthalpy at 0 K = 1.4 eV per formula unit
Magnetization = 4.58 μB per formula unit
Calculated density = 3.28 g cm⁻³

=====

Record 6
The following is a PBE calculation of a geometry-optimized CdCoRh2 structure, from the Alexandria database.

Structure (POSCAR):
```
CdCoRh2
1.0
2.860 0.000 0.000
0.000 4.537 0.000
0.000 0.000 4.632
Cd Co Rh
1 1 2
Direct
0.000 0.000 0.000
0.500 0.000 0.500
0.000 0.500 0.500
0.500 0.500 0.000
```

Calculated values
Energy above the lowest structure with this stoichiometry = 0.217 eV per atom
Formation enthalpy at 0 K = 1.0 eV per formula unit
Magnetization = 2.53 μB per formula unit
Calculated density = 10.42 g cm⁻³

=====

Record 7
The following is a PBE calculation of a geometry-optimized POs2Cl structure, from the Alexandria database.

Structure (POSCAR):
```
POs2Cl
1.0
6.965 0.000 0.000
0.000 2.945 0.000
-2.629 0.000 6.939
P Os Cl
2 4 2
Direct
0.000 0.000 0.000
0.500 0.500 0.000
0.150 0.500 0.837
0.350 0.000 0.163
0.650 0.000 0.837
0.850 0.500 0.163
0.000 0.500 0.500
0.500 0.000 0.500
```

Calculated values
Energy above the lowest structure with this stoichiometry = 0.000 eV per atom
Magnetization = 0.00 μB per formula unit
Calculated density = 10.43 g cm⁻³

=====

Record 8
The following is a PBE calculation of a geometry-optimized SnIrO structure, from the Alexandria database.

Structure (POSCAR):
```
SnIrO
1.0
3.025 0.000 0.000
0.000 13.293 0.000
0.000 0.000 5.366
Sn Ir O
4 4 4
Direct
0.000 0.178 0.000
0.000 0.822 0.500
0.500 0.322 0.500
0.500 0.678 0.000
0.000 0.372 0.907
0.000 0.628 0.407
0.500 0.128 0.407
0.500 0.872 0.907
0.000 0.090 0.643
0.000 0.910 0.143
0.500 0.410 0.143
0.500 0.590 0.643
```

Calculated values
Final energy = -6.079 eV per atom
Magnetization = 0.00 μB per formula unit
Calculated density = 10.06 g cm⁻³

=====

Record 9
The following is a PBE calculation of a geometry-optimized Cs3SmAg2F9 structure, from the Alexandria database.

Structure (POSCAR):
```
Cs3SmAg2F9
1.0
6.547 0.000 0.000
-3.274 5.670 0.000
0.000 0.000 8.141
Cs Sm Ag F
3 1 2 9
Direct
0.000 0.000 0.000
0.333 0.667 0.695
0.667 0.333 0.305
0.000 0.000 0.500
0.333 0.667 0.161
0.667 0.333 0.839
0.000 0.500 0.000
0.161 0.323 0.339
0.161 0.839 0.339
0.323 0.161 0.661
0.500 0.000 0.000
0.500 0.500 0.000
0.677 0.839 0.339
0.839 0.161 0.661
0.839 0.677 0.661
```

Calculated values
Final energy = -4.570 eV per atom
Magnetization = 1.07 μB per formula unit
Calculated density = 5.14 g cm⁻³

=====

Record 10
The following is a PBE calculation of a geometry-optimized TaGeAsSe2 structure, from the Alexandria database.

Structure (POSCAR):
```
TaGeAsSe2
1.0
4.803 0.000 0.000
0.000 4.803 0.000
0.000 0.000 4.831
Ta Ge As Se
1 1 1 2
Direct
0.000 0.000 0.000
0.500 0.500 0.500
0.500 0.500 0.000
0.000 0.500 0.500
0.500 0.000 0.500
```

Calculated values
Energy above the lowest structure with this stoichiometry = 0.777 eV per atom
Magnetization = 0.00 μB per formula unit
Calculated density = 7.25 g cm⁻³

=====

Record 11
The following is a PBE calculation of a geometry-optimized BaY3Bi structure, from the Alexandria database.

Structure (POSCAR):
```
BaY3Bi
1.0
5.989 0.000 0.000
0.000 5.989 0.000
0.000 0.000 5.989
Ba Y Bi
1 3 1
Direct
0.000 0.000 0.000
0.000 0.500 0.500
0.500 0.000 0.500
0.500 0.500 0.000
0.500 0.500 0.500
```

Calculated values
Energy above the lowest structure with this stoichiometry = 0.000 eV per atom
Formation enthalpy at 0 K = 0.6 eV per formula unit
Magnetization = 2.63 μB per formula unit
Calculated density = 4.74 g cm⁻³

=====

Record 12
The following is a PBE calculation of a geometry-optimized LaPt2O6 structure, from the Alexandria database.

Structure (POSCAR):
```
LaPt2O6
1.0
5.333 0.000 0.000
-2.667 4.619 0.000
0.000 0.000 5.127
La Pt O
1 2 6
Direct
0.000 0.000 0.000
0.333 0.667 0.500
0.667 0.333 0.500
0.000 0.364 0.713
0.000 0.636 0.287
0.364 0.000 0.713
0.364 0.364 0.287
0.636 0.000 0.287
0.636 0.636 0.713
```

Calculated values
Final energy = -6.519 eV per atom
Magnetization = 0.70 μB per formula unit
Calculated density = 8.22 g cm⁻³

=====

Number 1: D(E_F) 1.703 states/eV/atom. Number 2: D(E_F) 0.282 states/eV/atom. Number 3: D(E_F) 1.564 states/eV/atom. Number 4: D(E_F) 0.933 states/eV/atom. Number 5: D(E_F) 0.788 states/eV/atom. Number 6: D(E_F) 1.301 states/eV/atom. Number 7: D(E_F) 0.233 states/eV/atom. Number 8: D(E_F) 0.732 states/eV/atom. Number 9: D(E_F) 0.219 states/eV/atom. Number 10: D(E_F) 0.951 states/eV/atom. Number 11: D(E_F) 1.430 states/eV/atom. Number 12: D(E_F) 1.159 states/eV/atom.